No. 1
Below is crystalline VTc at its relaxed geometry, with properties calculated at the PBE level.

## Properties
SG	No. 11
energy relative to the elements	-0.236	eV per atom

Unit cell a=2.676 b=4.283 c=4.967 alpha=90.00 beta=101.19 gamma=90.00
Sites, in units of the cell vectors:
V 0.133 0.250 0.374
V 0.867 0.750 0.626
Tc 0.367 0.750 0.137
Tc 0.633 0.250 0.863



No. 2
Below is crystalline VTc at its relaxed geometry, with properties calculated at the PBE level.

## Properties
SG	No. 65
energy relative to the elements	-0.228	eV per atom

Unit cell a=2.675 b=2.675 c=4.185 alpha=90.00 beta=90.00 gamma=111.03
Sites, in units of the cell vectors:
V 0.000 0.000 0.000
Tc 0.500 0.500 0.500



No. 3
Below is crystalline VTc at its relaxed geometry, with properties calculated at the PBE level.

## Properties
SG	No. 223
energy relative to the elements	1.824	eV per atom

Unit cell a=6.673 b=6.673 c=6.673 alpha=90.00 beta=90.00 gamma=90.00
Sites, in units of the cell vectors:
V 0.000 0.250 0.500
V 0.000 0.750 0.500
V 0.250 0.500 0.000
V 0.500 0.000 0.250
V 0.500 0.000 0.750
V 0.750 0.500 0.000
Tc 0.000 0.500 0.250
Tc 0.000 0.500 0.750
Tc 0.250 0.000 0.500
Tc 0.500 0.250 0.000
Tc 0.500 0.750 0.000
Tc 0.750 0.000 0.500



No. 4
Below is crystalline V5Tc at its relaxed geometry, with properties calculated at the PBE level.

## Properties
SG	No. 123
energy relative to the elements	-0.170	eV per atom

Unit cell a=3.000 b=3.000 c=9.042 alpha=90.00 beta=90.00 gamma=90.00
Sites, in units of the cell vectors:
V 0.000 0.000 0.000
V 0.000 0.000 0.333
V 0.000 0.000 0.667
V 0.500 0.500 0.164
V 0.500 0.500 0.836
Tc 0.500 0.500 0.500



No. 5
Below is crystalline VTc3 at its relaxed geometry, with properties calculated at the PBE level.

## Properties
SG	No. 25
energy relative to the elements	-0.044	eV per atom

Unit cell a=3.036 b=4.338 c=4.374 alpha=90.00 beta=90.00 gamma=90.00
Sites, in units of the cell vectors:
V 0.000 0.000 0.000
Tc 0.000 0.500 0.494
Tc 0.500 0.000 0.534
Tc 0.500 0.500 0.019



No. 6
Below is crystalline VTc at its relaxed geometry, with properties calculated at the PBE level.

## Properties
SG	No. 87
energy relative to the elements	0.186	eV per atom

Unit cell a=5.739 b=5.739 c=5.739 alpha=98.22 beta=98.22 gamma=135.56
Sites, in units of the cell vectors:
V 0.017 0.679 0.696
V 0.321 0.017 0.338
V 0.679 0.983 0.662
V 0.983 0.321 0.304
Tc 0.311 0.357 0.669
Tc 0.357 0.689 0.046
Tc 0.643 0.311 0.954
Tc 0.689 0.643 0.331



No. 7
Below is crystalline VTc at its relaxed geometry, with properties calculated at the PBE level.

## Properties
SG	No. 216
energy relative to the elements	1.636	eV per atom

Unit cell a=3.841 b=3.841 c=3.841 alpha=60.00 beta=60.00 gamma=60.00
Sites, in units of the cell vectors:
V 0.000 0.000 0.000
Tc 0.750 0.750 0.750



No. 8
Below is crystalline VTc3 at its relaxed geometry, with properties calculated at the PBE level.

## Properties
SG	No. 221
energy relative to the elements	0.049	eV per atom

Unit cell a=3.860 b=3.860 c=3.860 alpha=90.00 beta=90.00 gamma=90.00
Sites, in units of the cell vectors:
V 0.000 0.000 0.000
Tc 0.000 0.500 0.500
Tc 0.500 0.000 0.500
Tc 0.500 0.500 0.000